No. 1
# Na2PmBr5

Crystalline Na2PmBr5 at its relaxed geometry (PBE, the Alexandria database).

Properties
The calculated volume is 30.06 Å³ per atom. Its space group is No. 62. For the formation energy without anion corrections, the calculation gives -1.6946 eV per atom.

Cell: 8.4014 8.8850 12.8853 Å, 90.00 90.00 90.00°
Closest atoms and distances in Å follow each position.
Positions (direct):
Pm: 0.9142 0.7500 0.9923  7 Br 2.91-3.02
Pm: 0.0858 0.2500 0.0077  7 Br 2.91-3.02
Pm: 0.4142 0.2500 0.5077  7 Br 2.91-3.02
Pm: 0.5858 0.7500 0.4923  7 Br 2.91-3.02
Br: 0.1858 0.2500 0.7892  1 Pm 2.94, 2 Na 3.19
Br: 0.3142 0.2500 0.2892  1 Pm 2.94, 2 Na 3.19
Br: 0.6609 0.4529 0.4106  2 Pm 2.91-3.02, 1 Na 3.19
Br: 0.1609 0.9529 0.0894  2 Pm 2.91-3.02, 1 Na 3.19
Br: 0.6609 0.0471 0.4106  2 Pm 2.91-3.02, 1 Na 3.19
Br: 0.6374 0.2500 0.6822  1 Pm 2.93, 2 Na 3.06
Br: 0.6858 0.7500 0.7108  1 Pm 2.94, 2 Na 3.19
Br: 0.4411 0.2500 0.0106  1 Pm 2.99, 4 Na 3.23-3.26
Br: 0.8626 0.2500 0.1822  1 Pm 2.93, 2 Na 3.06
Br: 0.1609 0.5471 0.0894  2 Pm 2.91-3.02, 1 Na 3.19
Br: 0.8391 0.0471 0.9106  2 Pm 2.91-3.02, 1 Na 3.19
Br: 0.9411 0.7500 0.4894  1 Pm 2.99, 4 Na 3.23-3.26
Br: 0.1374 0.7500 0.8178  1 Pm 2.93, 2 Na 3.06
Br: 0.3391 0.5471 0.5894  2 Pm 2.91-3.02, 1 Na 3.19
Br: 0.8142 0.7500 0.2108  1 Pm 2.94, 2 Na 3.19
Br: 0.3391 0.9529 0.5894  2 Pm 2.91-3.02, 1 Na 3.19
Br: 0.5589 0.7500 0.9894  1 Pm 2.99, 4 Na 3.23-3.26
Br: 0.0589 0.2500 0.5106  1 Pm 2.99, 4 Na 3.23-3.26
Br: 0.3626 0.7500 0.3178  1 Pm 2.93, 2 Na 3.06
Br: 0.8391 0.4529 0.9106  2 Pm 2.91-3.02, 1 Na 3.19
Na: 0.4870 0.0103 0.8212  7 Br 3.06-3.33
Na: 0.0130 0.0103 0.3212  7 Br 3.06-3.33
Na: 0.5130 0.9897 0.1788  7 Br 3.06-3.33
Na: 0.9870 0.9897 0.6788  7 Br 3.06-3.33
Na: 0.5130 0.5103 0.1788  7 Br 3.06-3.33
Na: 0.0130 0.4897 0.3212  7 Br 3.06-3.33
Na: 0.9870 0.5103 0.6788  7 Br 3.06-3.33
Na: 0.4870 0.4897 0.8212  7 Br 3.06-3.33

=====

No. 2
# NaPmBr2

Crystalline NaPmBr2 at its relaxed geometry (PBE, the Alexandria database).

Properties
The calculated volume is 33.05 Å³ per atom. Its space group is No. 166. For the formation energy without anion corrections, the calculation gives -1.2078 eV per atom.

Cell: 3.8539 3.8539 10.5150 Å, 79.44 79.44 60.00°
Closest atoms and distances in Å follow each position.
Positions (direct):
Pm: 0.5000 0.5000 0.5000  6 Br 3.01
Br: 0.8989 0.8989 0.3032  3 Pm 3.01, 1 Na 3.12
Br: 0.1011 0.1011 0.6968  3 Pm 3.01, 1 Na 3.12
Na: 0.0000 0.0000 0.0000  2 Br 3.12

=====

No. 3
# Na3PmBr6

Crystalline Na3PmBr6 at its relaxed geometry (PBE, the Alexandria database).

Properties
The calculated volume is 32.90 Å³ per atom. Its space group is No. 146. For the formation energy without anion corrections, the calculation gives -1.6863 eV per atom.

Cell: 7.4949 7.4949 8.0287 Å, 62.18 62.18 60.00°
Closest atoms and distances in Å follow each position.
Positions (direct):
Pm: 0.8432 0.8432 0.4703  6 Br 2.88-2.91
Br: 0.5740 0.2293 0.2501  1 Pm 2.88, 3 Na 2.99-3.11
Br: 0.4522 0.7516 0.7432  1 Pm 2.91, 3 Na 2.96-3.10
Br: 0.2293 0.9466 0.2501  1 Pm 2.88, 3 Na 2.99-3.11
Br: 0.9466 0.5740 0.2501  1 Pm 2.88, 3 Na 2.99-3.11
Br: 0.7516 0.0530 0.7432  1 Pm 2.91, 3 Na 2.96-3.10
Br: 0.0530 0.4522 0.7432  1 Pm 2.91, 3 Na 2.96-3.10
Na: 0.6473 0.6473 0.0582  6 Br 2.99-3.10
Na: 0.3502 0.3502 0.9494  6 Br 2.97-3.11
Na: 0.1526 0.1526 0.5421  6 Br 2.96-3.07